1.
PrSmInRu: optimized geometry, PBE.

Cell: 5.220 5.220 5.220 Å, 60.00 60.00 60.00°
Fractional coordinates of all 4 atoms:
Sm 0.000 0.000 0.000
Ru 0.250 0.250 0.250
Pr 0.500 0.500 0.500
In 0.750 0.750 0.750

Results
As for the formation energy from the elements: -80 kJ/mol of formula units. Its space group is F-43m, No. 216.

2.
HoHgBr3: optimized geometry, PBE.

Cell: 5.598 5.598 5.598 Å, 90.00 90.00 90.00°
Fractional coordinates of all 5 atoms:
Br 0.000 0.000 0.500
Br 0.500 0.000 0.000
Br 0.000 0.500 0.000
Ho 0.000 0.000 0.000
Hg 0.500 0.500 0.500

Results
The formation energy without anion corrections is -1.3622 eV/atom. Its space group is Pm-3m, No. 221.

3.
RbPNO2: optimized geometry, PBE.

Cell: 5.154 5.154 5.755 Å, 90.00 90.00 90.00°
Fractional coordinates of all 5 atoms:
Rb 0.000 0.000 0.000
O 0.500 0.000 0.000
P 0.500 0.500 0.500
O 0.000 0.500 0.000
N 0.000 0.000 0.500

Results
The formation energy without anion corrections is 2.0614 eV/atom. Its space group is P4/mmm, No. 123.

4.
SrFe2Ru: optimized geometry, PBE.

Cell: 4.179 4.179 6.018 Å, 69.65 69.65 60.00°
Fractional coordinates of all 4 atoms:
Ru 0.437 0.437 0.690
Fe 0.059 0.059 0.823
Fe 0.756 0.756 0.731
Sr 0.248 0.248 0.256

Results
As for the formation energy from the elements: 126 kJ/mol of formula units. Its space group is R3m, No. 160.

5.
SrZnSn2Te: optimized geometry, PBE.

Cell: 5.075 6.333 5.075 Å, 90.00 90.00 90.00°
Fractional coordinates of all 5 atoms:
Zn 0.000 0.000 0.000
Te 0.500 0.500 0.500
Sn 0.000 0.000 0.500
Sn 0.500 0.000 0.000
Sr 0.000 0.500 0.000

Results
The formation energy without anion corrections is -0.1545 eV/atom. Its space group is P4/mmm, No. 123.

6.
WAu2: optimized geometry, PBE.

Cell: 6.092 3.852 8.915 Å, 90.00 90.00 90.00°
Fractional coordinates of all 12 atoms:
Au 0.625 0.250 0.915
W 0.398 0.750 0.434
Au 0.875 0.750 0.415
Au 0.622 0.250 0.249
Au 0.122 0.250 0.251
Au 0.878 0.750 0.749
Au 0.378 0.750 0.751
Au 0.375 0.750 0.085
Au 0.125 0.250 0.585
W 0.898 0.750 0.066
W 0.102 0.250 0.934
W 0.602 0.250 0.566

Results
As for the formation energy from the elements: 103 kJ/mol of formula units. Its space group is Pnma, No. 62.

7.
La2RhBr: optimized geometry, PBE.

Cell: 4.162 4.162 8.421 Å, 75.69 75.69 60.00°
Fractional coordinates of all 4 atoms:
Rh 0.668 0.668 0.997
La 0.065 0.065 0.804
La 0.269 0.269 0.193
Br 0.498 0.498 0.505

Results
The formation energy without anion corrections is -1.1698 eV/atom. Its space group is R3m, No. 160.

8.
CdB2Cl: optimized geometry, PBE.

Cell: 5.310 5.310 6.304 Å, 65.09 65.09 90.00°
Fractional coordinates of all 8 atoms:
B 0.615 0.125 0.250
B 0.375 0.385 0.750
Cl 0.250 0.750 0.500
B 0.135 0.625 0.250
Cl 0.500 0.500 0.000
Cd 0.750 0.250 0.500
B 0.875 0.865 0.750
Cd 0.000 0.000 0.000

Results
The formation energy without anion corrections is 1.4737 eV/atom. Its space group is I-42d, No. 122.

9.
Ac3Y2ErTe6: optimized geometry, PBE.

Cell: 4.398 9.388 10.335 Å, 107.47 102.29 90.00°
Fractional coordinates of all 12 atoms:
Te 0.994 0.768 0.989
Te 0.006 0.232 0.011
Ac 0.500 0.500 0.000
Ac 0.168 0.834 0.335
Y 0.833 0.666 0.665
Te 0.659 0.097 0.319
Te 0.672 0.568 0.345
Er 0.500 0.000 0.000
Ac 0.832 0.166 0.665
Y 0.167 0.334 0.335
Te 0.328 0.432 0.655
Te 0.341 0.903 0.681

Results
The formation energy without anion corrections is -1.3836 eV/atom. Its space group is C2/m, No. 12.

10.
SrBeNb2: optimized geometry, PBE.

Cell: 4.470 4.470 10.210 Å, 77.36 77.36 90.00°
Fractional coordinates of all 8 atoms:
Be 0.500 0.500 0.000
Be 0.250 0.750 0.500
Nb 0.875 0.518 0.750
Nb 0.482 0.625 0.250
Sr 0.000 0.000 0.000
Nb 0.375 0.732 0.750
Sr 0.750 0.250 0.500
Nb 0.268 0.125 0.250

Results
As for the formation energy from the elements: 414 kJ/mol of formula units. Its space group is I-42d, No. 122.

11.
La5Pm3: optimized geometry, PBE.

Cell: 3.713 3.713 20.868 Å, 90.00 90.00 90.00°
Fractional coordinates of all 8 atoms:
La 0.000 0.000 0.249
Pm 0.500 0.500 0.124
La 0.000 0.000 0.751
Pm 0.500 0.500 0.876
La 0.500 0.500 0.625
Pm 0.000 0.000 0.500
La 0.500 0.500 0.375
La 0.000 0.000 0.000

Results
As for the formation energy from the elements: 14 kJ/mol of formula units. Its space group is P4/mmm, No. 123.

12.
LaCoCl2: optimized geometry, PBE.

Cell: 3.751 3.751 6.250 Å, 90.00 90.00 90.00°
Fractional coordinates of all 4 atoms:
Cl 0.000 0.000 0.991
Co 0.500 0.500 0.250
Cl 0.000 0.000 0.509
La 0.500 0.500 0.750

Results
The formation energy without anion corrections is -0.5645 eV/atom. Its space group is P4/mmm, No. 123.

13.
SiHgAs2: optimized geometry, PBE.

Cell: 4.754 4.754 4.754 Å, 115.45 115.45 98.09°
Fractional coordinates of all 4 atoms:
As 0.000 0.000 0.000
As 0.250 0.750 0.500
Hg 0.500 0.500 0.000
Si 0.750 0.250 0.500

Results
The formation energy without anion corrections is 0.5480 eV/atom. Its space group is I-4m2, No. 119.

14.
LiGeH3: optimized geometry, PBE.

Cell: 3.498 3.498 3.498 Å, 90.00 90.00 90.00°
Fractional coordinates of all 5 atoms:
H 0.500 0.000 0.000
Ge 0.500 0.500 0.500
H 0.000 0.000 0.500
H 0.000 0.500 0.000
Li 0.000 0.000 0.000

Results
Its space group is Pm-3m, No. 221.

15.
Mg2Sb: optimized geometry, PBE.

Cell: 3.572 3.572 6.877 Å, 90.00 90.00 120.00°
Fractional coordinates of all 3 atoms:
Mg 0.667 0.333 0.673
Sb 0.000 0.000 0.000
Mg 0.333 0.667 0.327

Results
The formation energy without anion corrections is -0.0436 eV/atom. Its space group is P-3m1, No. 164.

16.
SrCa2Zn2Ga2: optimized geometry, PBE.

Cell: 4.571 4.571 10.406 Å, 77.31 77.31 60.00°
Fractional coordinates of all 7 atoms:
Sr 0.000 0.000 0.000
Zn 0.407 0.407 0.780
Ga 0.257 0.257 0.230
Ca 0.126 0.126 0.621
Ca 0.874 0.874 0.379
Zn 0.593 0.593 0.220
Ga 0.743 0.743 0.770

Results
As for the formation energy from the elements: -243 kJ/mol of formula units. Its space group is R-3m, No. 166.

17.
HoTmAlIn: optimized geometry, PBE.

Cell: 5.174 5.174 5.174 Å, 60.00 60.00 60.00°
Fractional coordinates of all 4 atoms:
Ho 0.000 0.000 0.000
Tm 0.500 0.500 0.500
In 0.750 0.750 0.750
Al 0.250 0.250 0.250

Results
As for the formation energy from the elements: -153 kJ/mol of formula units. Its space group is F-43m, No. 216.

18.
Rb2TaRe2: optimized geometry, PBE.

Cell: 3.456 3.456 13.059 Å, 82.40 82.40 90.00°
Fractional coordinates of all 5 atoms:
Rb 0.378 0.378 0.245
Re 0.750 0.250 0.500
Ta 0.000 0.000 0.000
Re 0.250 0.750 0.500
Rb 0.622 0.622 0.755

Results
As for the formation energy from the elements: 808 kJ/mol of formula units. Its space group is I4/mmm, No. 139.

19.
Sr4HgAu3: optimized geometry, PBE.

Cell: 4.336 4.860 11.810 Å, 90.00 90.00 90.00°
Fractional coordinates of all 8 atoms:
Sr 0.500 0.000 0.637
Sr 0.500 0.500 0.369
Au 0.000 0.500 0.578
Sr 0.000 0.000 0.142
Sr 0.000 0.500 0.855
Au 0.000 0.000 0.423
Hg 0.500 0.500 0.078
Au 0.500 0.000 0.919

Results
As for the formation energy from the elements: -545 kJ/mol of formula units. Its space group is Pmm2, No. 25.

20.
LaTl2As2Pd7: optimized geometry, PBE.

Cell: 4.111 4.111 14.704 Å, 85.41 85.41 90.04°
Fractional coordinates of all 12 atoms:
Pd 0.602 0.602 0.583
La 0.000 0.000 0.000
As 0.425 0.425 0.250
As 0.575 0.575 0.750
Pd 0.047 0.545 0.847
Pd 0.398 0.398 0.417
Tl 0.895 0.895 0.401
Pd 0.545 0.047 0.847
Pd 0.500 0.500 0.000
Pd 0.455 0.953 0.153
Pd 0.953 0.455 0.153
Tl 0.105 0.105 0.599

Results
As for the formation energy from the elements: -462 kJ/mol of formula units. Its space group is C2/m, No. 12.

VASP energy, respectively: -5.587, -3.342, -2.862, -6.643, -2.975, -6.148, -5.890, -2.555, -5.439, -5.314, -4.843, -4.496, -3.208, -2.917, -2.481, -2.401, -4.278, -6.062, -2.813, -5.008 eV per atom.